Ti2BeGa2 after structural relaxation, computed with PBE.

Values from the calculation:
As for the energy above the lowest structure with this stoichiometry: 0.000 eV/atom. The formation enthalpy at 0 K comes out at -0.37 eV per atom. As for the final energy: -5.481 eV per atom.

Cell: 5.064 5.064 9.288 Å, 114.21 114.21 43.37°
Positions (direct):
Ti1 0.005 0.005 0.176
Ti2 0.182 0.182 0.611
Ti3 0.818 0.818 0.389
Ti4 0.995 0.995 0.824
Be1 0.291 0.291 0.176
Be2 0.709 0.709 0.824
Ga1 0.346 0.346 0.938
Ga2 0.462 0.462 0.613
Ga3 0.538 0.538 0.387
Ga4 0.654 0.654 0.062